[1]
Compound: PrIn2Si2
Source: OQMD via LeMat-Bulk
Functional: PBE
Structure: relaxed

Cell: 7.690 7.690 3.931 Å, 90.00 90.00 90.00°
Positions (direct):
In 0.670 0.170 0.500
In 0.170 0.330 0.500
In 0.830 0.670 0.500
In 0.330 0.830 0.500
Pr 0.000 0.000 0.000
Pr 0.500 0.500 0.000
Si 0.388 0.112 0.000
Si 0.888 0.388 0.000
Si 0.112 0.612 0.000
Si 0.612 0.888 0.000

Output
Spin magnetization ... 0.0 μB per formula unit



[2]
Compound: Tb4B3C4
Source: OQMD via LeMat-Bulk
Functional: PBE
Structure: relaxed

Cell: 3.591 3.631 11.991 Å, 87.29 81.61 89.92°
Positions (direct):
B 0.000 0.000 0.000
B 0.344 0.504 0.454
B 0.656 0.496 0.546
C 0.965 0.051 0.123
C 0.370 0.522 0.330
C 0.630 0.478 0.670
C 0.035 0.949 0.877
Tb 0.459 0.549 0.137
Tb 0.860 0.018 0.348
Tb 0.140 0.982 0.652
Tb 0.541 0.451 0.863

Output
Spin magnetization ... 0.0 μB per formula unit



[3]
Compound: KAuO3
Source: OQMD via LeMat-Bulk
Functional: PBE
Structure: relaxed

Cell: 6.317 6.188 9.684 Å, 90.00 90.00 90.00°
Positions (direct):
Au 0.967 0.014 0.250
Au 0.533 0.514 0.250
Au 0.467 0.486 0.750
Au 0.033 0.986 0.750
K 0.500 0.000 0.000
K 0.000 0.500 0.000
K 0.500 0.000 0.500
K 0.000 0.500 0.500
O 0.620 0.383 0.089
O 0.880 0.883 0.089
O 0.126 0.266 0.250
O 0.374 0.766 0.250
O 0.620 0.383 0.411
O 0.880 0.883 0.411
O 0.120 0.117 0.589
O 0.380 0.617 0.589
O 0.626 0.234 0.750
O 0.874 0.734 0.750
O 0.120 0.117 0.911
O 0.380 0.617 0.911



[4]
Compound: CsGdO3
Source: OQMD via LeMat-Bulk
Functional: PBE
Structure: relaxed

Cell: 6.630 6.630 6.763 Å, 60.65 60.65 60.00°
Last column: magnetic moment on the atom in μB.
Positions (direct):
Cs 0.620 0.620 0.140  0.02
Cs 0.380 0.380 0.860  0.02
Gd 0.846 0.846 0.461  -0.06
Gd 0.154 0.154 0.539  -0.06
O 0.095 0.064 0.292  0.56
O 0.549 0.095 0.292  0.54
O 0.064 0.549 0.292  0.56
O 0.936 0.451 0.708  0.56
O 0.451 0.905 0.708  0.54
O 0.905 0.936 0.708  0.56

Output
Spin magnetization ... 2.0 μB per formula unit



[5]
Compound: Hf3ZnCN
Source: OQMD via LeMat-Bulk
Functional: PBE
Structure: relaxed

Cell: 3.265 3.265 19.121 Å, 90.00 90.00 120.00°
Positions (direct):
C 0.667 0.333 0.427
C 0.333 0.667 0.573
Hf 0.000 0.000 0.000
Hf 0.333 0.667 0.131
Hf 0.333 0.667 0.365
Hf 0.000 0.000 0.500
Hf 0.667 0.333 0.635
Hf 0.667 0.333 0.869
N 0.667 0.333 0.069
N 0.333 0.667 0.931
Zn 0.000 0.000 0.247
Zn 0.000 0.000 0.753

Output
Spin magnetization ... 0.0 μB per formula unit



[6]
Compound: PrGeHO4
Source: OQMD via LeMat-Bulk
Functional: PBE
Structure: relaxed

Cell: 5.134 9.339 6.903 Å, 90.00 90.00 90.00°
Positions (direct):
Ge 0.280 0.037 0.250
Ge 0.220 0.537 0.250
Ge 0.780 0.463 0.750
Ge 0.720 0.963 0.750
H 0.000 0.000 0.000
H 0.500 0.500 0.000
H 0.000 0.000 0.500
H 0.500 0.500 0.500
O 0.110 0.111 0.047
O 0.390 0.611 0.047
O 0.615 0.062 0.250
O 0.260 0.350 0.250
O 0.885 0.562 0.250
O 0.240 0.850 0.250
O 0.110 0.111 0.453
O 0.390 0.611 0.453
O 0.610 0.389 0.547
O 0.890 0.889 0.547
O 0.760 0.150 0.750
O 0.115 0.438 0.750
O 0.740 0.650 0.750
O 0.385 0.938 0.750
O 0.610 0.389 0.953
O 0.890 0.889 0.953
Pr 0.801 0.288 0.250
Pr 0.699 0.788 0.250
Pr 0.301 0.212 0.750
Pr 0.199 0.712 0.750

Output
Spin magnetization ... 0.0 μB per formula unit



[7]
Compound: KDyTe2
Source: OQMD via LeMat-Bulk
Functional: PBE
Structure: relaxed

Cell: 7.368 7.368 7.368 Å, 106.78 106.78 115.00°
Positions (direct):
Dy 0.750 0.250 0.500
Dy 0.250 0.750 0.500
K 0.250 0.250 0.000
K 0.750 0.750 0.000
Te 0.821 0.321 0.141
Te 0.321 0.179 0.500
Te 0.679 0.821 0.500
Te 0.179 0.679 0.859

Output
Spin magnetization ... 0.0 μB per formula unit



[8]
Compound: TbDyGe2Os
Source: OQMD via LeMat-Bulk
Functional: PBE
Structure: relaxed

Cell: 5.815 5.815 10.140 Å, 116.10 116.10 43.43°
Positions (direct):
Dy 0.004 0.004 0.175
Dy 0.996 0.996 0.825
Ge 0.643 0.643 0.062
Ge 0.510 0.510 0.374
Ge 0.490 0.490 0.626
Ge 0.357 0.357 0.938
Os 0.270 0.270 0.130
Os 0.730 0.730 0.870
Tb 0.815 0.815 0.386
Tb 0.185 0.185 0.614

Output
Spin magnetization ... 0.0 μB per formula unit



[9]
Compound: HoErFe2Si2C
Source: OQMD via LeMat-Bulk
Functional: PBE
Structure: relaxed

Cell: 5.611 5.611 6.687 Å, 126.56 126.56 40.78°
Positions (direct):
C 0.000 0.000 0.999
Er 0.441 0.441 0.707
Fe 0.201 0.201 0.096
Fe 0.798 0.798 0.904
Ho 0.559 0.559 0.293
Si 0.839 0.839 0.286
Si 0.161 0.161 0.715

Output
Spin magnetization ... 0.0 μB per formula unit



[10]
Compound: InAgPt
Source: OQMD via LeMat-Bulk
Functional: PBE
Structure: relaxed

Cell: 4.497 4.497 4.497 Å, 60.00 60.00 60.00°
Positions (direct):
Ag 0.250 0.250 0.250
In 0.750 0.750 0.750
Pt 0.000 0.000 0.000

Output
Spin magnetization ... 0.0 μB per formula unit



[11]
Compound: Hf2Nb4In3N3
Source: OQMD via LeMat-Bulk
Functional: PBE
Structure: relaxed

Cell: 5.577 5.577 14.700 Å, 100.76 100.76 60.28°
Positions (direct):
Hf 0.357 0.528 0.087
Hf 0.472 0.643 0.413
Hf 0.528 0.357 0.587
Hf 0.643 0.472 0.913
In 0.771 0.580 0.248
In 0.065 0.935 0.250
In 0.420 0.229 0.252
In 0.580 0.771 0.748
In 0.935 0.065 0.750
In 0.229 0.420 0.752
N 0.655 0.191 0.000
N 0.000 0.500 0.000
N 0.345 0.809 0.000
N 0.191 0.655 0.500
N 0.500 0.000 0.500
N 0.809 0.345 0.500
Nb 0.036 0.183 0.079
Nb 0.694 0.868 0.079
Nb 0.132 0.306 0.421
Nb 0.817 0.964 0.421
Nb 0.183 0.036 0.579
Nb 0.868 0.694 0.579
Nb 0.306 0.132 0.921
Nb 0.964 0.817 0.921

Output
Spin magnetization ... 0.0 μB per formula unit



[12]
Compound: ErSnAsO
Source: OQMD via LeMat-Bulk
Functional: PBE
Structure: relaxed

Cell: 5.469 5.469 5.385 Å, 90.00 90.00 90.00°
Positions (direct):
As 0.750 0.750 0.486
As 0.250 0.250 0.514
Er 0.750 0.250 0.500
Er 0.250 0.750 0.500
O 0.750 0.250 0.000
O 0.250 0.750 0.000
Sn 0.250 0.250 0.010
Sn 0.750 0.750 0.990

Output
Spin magnetization ... 0.0 μB per formula unit



Number 1: final energy -4.323 eV per atom. Number 2: final energy -7.306 eV per atom. Number 3: final energy -3.948 eV per atom. Number 4: final energy -5.926 eV per atom. Number 5: final energy -9.069 eV per atom. Number 6: final energy -6.755 eV per atom. Number 7: final energy -4.185 eV per atom. Number 8: final energy -6.635 eV per atom. Number 9: final energy -7.246 eV per atom. Number 10: final energy -4.063 eV per atom. Number 11: final energy -8.511 eV per atom. Number 12: final energy -5.564 eV per atom.